! MgAuI2O | the Alexandria database | GGA-PBE | relaxed; values from VASP
! Space-group type: P4/mmm, No. 123
! Energy relative to the lowest polymorph listed for this composition in eV/atom: 0.326
! ΔE_f (raw) in eV per formula unit: 0.21
! E_tot in eV per atom: -2.5441
! Size of the total moment in μB per cell: 0.0
&SYSTEM
  ibrav = 0, nat = 5, ntyp = 4
/
ATOMIC_SPECIES
I 126.90 I.upf
Mg 24.30 Mg.upf
Au 196.97 Au.upf
O 16.00 O.upf
ATOMIC_POSITIONS angstrom
I 1.898 -1.166 1.827
I -2.122 -0.504 1.882
Mg 0.086 0.146 4.545
Au 0.000 0.000 0.000
O 0.310 1.815 0.836
CELL_PARAMETERS angstrom
-4.244 -1.007 3.765
3.795 -2.332 3.655
0.621 3.630 1.671